# Ac2BeFeO6

A relaxed structure of Ac2BeFeO6 (GGA+U, Alexandria via LeMat-Bulk).

Results
Crystal system = orthorhombic
DOS(E_F) = 0.074 states/eV/cell
Electronic total energy = -143.8 eV/cell
V = 11.82 Å³/atom

abc: 5.512 7.471 5.742
angles: 90.00 90.00 90.00
Sites, in units of the cell vectors:
Ac: 0.250 0.003 0.232
Ac: 0.250 0.497 0.232
Ac: 0.750 0.503 0.768
Ac: 0.750 0.997 0.768
Be: 0.250 0.750 0.658
Be: 0.750 0.250 0.342
Fe: 0.250 0.250 0.738
Fe: 0.750 0.750 0.262
O: 0.001 0.250 0.494
O: 0.016 0.250 0.970
O: 0.250 0.517 0.749
O: 0.250 0.983 0.749
O: 0.484 0.250 0.970
O: 0.499 0.250 0.494
O: 0.501 0.750 0.506
O: 0.516 0.750 0.030
O: 0.750 0.017 0.251
O: 0.750 0.483 0.251
O: 0.984 0.750 0.030
O: 0.999 0.750 0.506